Record 1
VASP calculation (PBE) on an optimized crystal structure of BC2.

Cell lengths 4.611, 2.590, 6.465 Å; angles 90.00, 94.81, 90.00 degrees
Fractional positions:
B 0.000 0.000 0.000
B 0.025 0.000 0.680
B 0.511 0.500 0.979
B 0.706 0.000 0.403
C 0.205 0.500 0.389
C 0.209 0.500 0.628
C 0.344 0.000 0.072
C 0.357 0.000 0.309
C 0.521 0.500 0.728
C 0.686 0.000 0.674
C 0.843 0.500 0.078
C 0.881 0.500 0.306

Computed properties:
The space group is Pm. The value obtained for the total magnetization is 0.00 Bohr magnetons per cell. The energy is -96.74 eV per cell. The formation energy comes out at 0.9 eV per formula unit. The energy above the most stable polymorph in this dataset comes out at 74 meV per atom.



Record 2
VASP calculation (PBE) on an optimized crystal structure of Ac3BeP2Pt6.

Cell lengths 6.469, 6.469, 7.308 Å; angles 90.00, 90.00, 120.00 degrees
Fractional positions:
Ac 0.000 0.000 0.000
Ac 0.333 0.667 0.707
Ac 0.667 0.333 0.293
Be 0.000 0.000 0.500
P 0.333 0.667 0.127
P 0.667 0.333 0.873
Pt 0.178 0.356 0.347
Pt 0.178 0.822 0.347
Pt 0.356 0.178 0.653
Pt 0.644 0.822 0.347
Pt 0.822 0.178 0.653
Pt 0.822 0.644 0.653

Computed properties:
The space group is P-3m1. The value obtained for the total magnetization is 0.00 Bohr magnetons per cell. The energy is -74.40 eV per cell. The formation energy comes out at -11.3 eV per formula unit.



Record 3
VASP calculation (PBE) on an optimized crystal structure of LiScBi2.

Cell lengths 8.927, 8.927, 8.927 Å; angles 24.18, 24.18, 24.18 degrees
Fractional positions:
Li 0.000 0.000 0.000
Sc 0.500 0.500 0.500
Bi 0.251 0.251 0.251
Bi 0.749 0.749 0.749

Computed properties:
The space group is R-3m. The value obtained for the total magnetization is 0.00 Bohr magnetons per cell. The energy is -17.50 eV per cell. The formation energy comes out at -1.5 eV per formula unit. The energy above the most stable polymorph in this dataset comes out at 49 meV per atom.



Record 4
VASP calculation (PBE) on an optimized crystal structure of Li7Tl3Cu.

Cell lengths 10.505, 10.505, 13.722 Å; angles 90.00, 90.00, 163.27 degrees
Fractional positions:
Li 0.020 0.980 0.640
Li 0.020 0.980 0.860
Li 0.111 0.889 0.250
Li 0.156 0.844 0.618
Li 0.156 0.844 0.882
Li 0.204 0.796 0.069
Li 0.204 0.796 0.431
Li 0.796 0.204 0.569
Li 0.796 0.204 0.931
Li 0.844 0.156 0.118
Li 0.844 0.156 0.382
Li 0.889 0.111 0.750
Li 0.980 0.020 0.140
Li 0.980 0.020 0.360
Tl 0.260 0.740 0.250
Tl 0.417 0.583 0.538
Tl 0.417 0.583 0.962
Tl 0.583 0.417 0.038
Tl 0.583 0.417 0.462
Tl 0.740 0.260 0.750
Cu 0.401 0.599 0.250
Cu 0.599 0.401 0.750

Computed properties:
The space group is Cmcm. The value obtained for the total magnetization is 0.00 Bohr magnetons per cell. The energy is -51.35 eV per cell. The formation energy comes out at -1.1 eV per formula unit.



Record 5
VASP calculation (PBE) on an optimized crystal structure of ThUAu.

Cell lengths 8.075, 8.075, 5.301 Å; angles 90.95, 90.95, 25.78 degrees
Fractional positions:
Th 0.084 0.084 0.297
Th 0.916 0.916 0.703
U 0.243 0.243 0.834
U 0.757 0.757 0.166
Au 0.419 0.419 0.196
Au 0.581 0.581 0.804

Computed properties:
The space group is C2/m. The value obtained for the total magnetization is 1.56 Bohr magnetons per cell. The energy is -45.07 eV per cell. The formation energy comes out at -0.5 eV per formula unit.



Record 6
VASP calculation (PBE) on an optimized crystal structure of AsSe2.

Cell lengths 5.975, 5.975, 8.867 Å; angles 111.08, 111.08, 36.66 degrees
Fractional positions:
As 0.000 0.000 0.000
As 0.666 0.666 0.390
Se 0.160 0.160 0.577
Se 0.435 0.435 0.768
Se 0.448 0.448 0.206
Se 0.659 0.659 0.973

Computed properties:
Its uncorrected formation energy is 0.1 eV/f.u. The space group is Cm. The value obtained for the total magnetization is 0.00 Bohr magnetons per cell. The energy is -22.99 eV per cell.



Record 7
VASP calculation (PBE) on an optimized crystal structure of ZrCdAsO6.

Cell lengths 5.353, 5.353, 9.326 Å; angles 90.00, 90.00, 120.00 degrees
Fractional positions:
Zr 0.333 0.667 0.250
Zr 0.667 0.333 0.750
Cd 0.000 0.000 0.000
Cd 0.000 0.000 0.500
As 0.333 0.667 0.750
As 0.667 0.333 0.250
O 0.037 0.384 0.639
O 0.037 0.652 0.861
O 0.348 0.384 0.861
O 0.348 0.963 0.639
O 0.384 0.037 0.139
O 0.384 0.348 0.361
O 0.616 0.652 0.639
O 0.616 0.963 0.861
O 0.652 0.037 0.361
O 0.652 0.616 0.139
O 0.963 0.348 0.139
O 0.963 0.616 0.361

Computed properties:
Its uncorrected formation energy is -14.9 eV/f.u. The space group is P-31c. The value obtained for the total magnetization is 2.05 Bohr magnetons per cell. The energy is -117.52 eV per cell.



Record 8
VASP calculation (PBE) on an optimized crystal structure of Ti2BiO.

Cell lengths 4.549, 4.549, 4.549 Å; angles 60.00, 60.00, 60.00 degrees
Fractional positions:
Ti 0.250 0.250 0.250
Ti 0.750 0.750 0.750
Bi 0.000 0.000 0.000
O 0.500 0.500 0.500

Computed properties:
Its uncorrected formation energy is -1.0 eV/f.u. The space group is Fm-3m. The value obtained for the total magnetization is 0.00 Bohr magnetons per cell. The energy is -25.58 eV per cell. The energy above the most stable polymorph in this dataset comes out at 872 meV per atom.